# CsK2SbAu | Alexandria via LeMat-Bulk | PBE | optimized geometry
# total magnetization	0.557	μB per formula unit
# raw total energy	-2.331	eV/atom
data_CsK2SbAu
_chemical_formula_sum 'Cs1 K2 Sb1 Au1'
_symmetry_space_group_name_H-M 'P 1'
_symmetry_Int_Tables_number 1
_cell_length_a 6.445
_cell_length_b 6.445
_cell_length_c 5.412
_cell_angle_alpha 90.00
_cell_angle_beta 90.00
_cell_angle_gamma 90.00
loop_
_symmetry_equiv_pos_as_xyz
'x,y,z'
loop_
_atom_site_label
_atom_site_type_symbol
_atom_site_fract_x
_atom_site_fract_y
_atom_site_fract_z
Cs1 Cs 0.000 0.000 0.000
K1 K 0.000 0.500 0.500
K2 K 0.500 0.000 0.500
Sb1 Sb 0.500 0.500 0.000
Au1 Au 0.500 0.500 0.500